Ni9Te after structural relaxation. Source: OQMD via LeMat-Bulk, functional PBE-GGA.

Values from the calculation:
Total DFT energy (no corrections): -5.21 eV per atom
Density: 6.5 g/cm3
Symmetry: Pmmn, No. 59
ΔE to the lowest computed polymorph: 0.000 eV per atom

```
20
Lattice="2.659 0.000 0.000 0.000 3.434 0.000 0.000 0.000 36.667" Properties=species:S:1:pos:R:3 pbc="T T T"
Ni 0.665 0.858 0.612
Ni 0.665 0.858 3.058
Ni 0.665 0.858 5.501
Ni 0.665 0.858 7.956
Ni 0.665 0.858 10.480
Ni 0.665 0.858 27.498
Ni 0.665 0.858 29.932
Ni 0.665 0.858 32.386
Ni 0.665 0.858 34.834
Ni 1.994 2.575 1.833
Ni 1.994 2.575 4.281
Ni 1.994 2.575 6.735
Ni 1.994 2.575 9.169
Ni 1.994 2.575 26.187
Ni 1.994 2.575 28.711
Ni 1.994 2.575 31.166
Ni 1.994 2.575 33.609
Ni 1.994 2.575 36.055
Te 0.665 0.858 24.724
Te 1.994 2.575 11.943
```

NiTe2 after structural relaxation. Source: OQMD via LeMat-Bulk, functional PBE-GGA.

Values from the calculation:
Total DFT energy (no corrections): -3.46 eV per atom
Density: 3.0 g/cm3
Symmetry: Fd-3m, No. 227

```
6
Lattice="0.000 5.566 5.566 5.566 0.000 5.566 5.566 5.566 0.000" Properties=species:S:1:pos:R:3 pbc="T T T"
Ni 1.392 1.392 1.392
Ni 9.741 9.741 9.741
Te 0.000 0.000 0.000
Te 2.783 2.783 0.000
Te 2.783 0.000 2.783
Te 0.000 2.783 2.783
```

NiTe8 after structural relaxation. Source: OQMD via LeMat-Bulk, functional PBE-GGA.

Values from the calculation:
Total DFT energy (no corrections): -3.25 eV per atom
Density: 6.9 g/cm3
Symmetry: P-62m, No. 189

```
9
Lattice="8.860 0.000 0.000 -4.430 7.673 0.000 0.000 0.000 3.819" Properties=species:S:1:pos:R:3 pbc="T T T"
Ni 0.000 0.000 0.000
Te -0.879 1.522 1.910
Te -2.343 4.058 0.000
Te 1.758 0.000 1.910
Te 0.000 5.115 1.910
Te 2.087 3.615 0.000
Te 4.686 0.000 0.000
Te 4.430 2.558 1.910
Te 3.551 6.151 1.910
```

NiTe after structural relaxation. Source: OQMD via LeMat-Bulk, functional PBE-GGA.

Values from the calculation:
Total DFT energy (no corrections): -4.34 eV per atom
Density: 6.8 g/cm3
Symmetry: Cmcm, No. 63

```
12
Lattice="2.039 -3.693 0.000 2.039 3.693 0.000 0.000 0.000 18.015" Properties=species:S:1:pos:R:3 pbc="T T T"
Ni 2.039 3.297 13.511
Ni 2.039 2.736 2.181
Ni 2.039 2.736 6.826
Ni 2.039 -2.736 11.189
Ni 2.039 -2.736 15.833
Ni 2.039 -3.297 4.504
Te 2.039 1.680 4.504
Te 2.039 0.267 1.467
Te 2.039 0.267 7.540
Te 2.039 -0.267 10.474
Te 2.039 -0.267 16.548
Te 2.039 -1.680 13.511
```

Ni7Te after structural relaxation. Source: OQMD via LeMat-Bulk, functional PBE-GGA.

Values from the calculation:
Total DFT energy (no corrections): -5.07 eV per atom
Density: 6.8 g/cm3
Symmetry: P4/nmm, No. 129
ΔE to the lowest computed polymorph: 0.093 eV per atom

```
16
Lattice="2.791 0.000 0.000 0.000 2.791 0.000 0.000 0.000 33.567" Properties=species:S:1:pos:R:3 pbc="T T T"
Ni 0.698 0.698 0.705
Ni 0.698 0.698 3.514
Ni 0.698 0.698 6.323
Ni 0.698 0.698 9.231
Ni 0.698 0.698 25.862
Ni 0.698 0.698 28.652
Ni 0.698 0.698 31.454
Ni 2.094 2.094 2.113
Ni 2.094 2.094 4.915
Ni 2.094 2.094 7.705
Ni 2.094 2.094 24.336
Ni 2.094 2.094 27.244
Ni 2.094 2.094 30.053
Ni 2.094 2.094 32.862
Te 0.698 0.698 22.469
Te 2.094 2.094 11.098
```

NiTe after structural relaxation. Source: OQMD via LeMat-Bulk, functional PBE-GGA.

Values from the calculation:
Total DFT energy (no corrections): -4.55 eV per atom
Density: 8.4 g/cm3
Symmetry: Cmcm, No. 63

```
4
Lattice="2.010 -3.472 0.000 2.010 3.472 0.000 0.000 0.000 5.278" Properties=species:S:1:pos:R:3 pbc="T T T"
Ni 0.000 0.000 0.000
Ni 0.000 0.000 2.639
Te 2.010 1.154 3.958
Te 2.010 -1.154 1.319
```

Ni2Te after structural relaxation. Source: OQMD via LeMat-Bulk, functional PBE-GGA.

Values from the calculation:
Total DFT energy (no corrections): -3.74 eV per atom
Density: 2.4 g/cm3
Symmetry: Fd-3m, No. 227

```
6
Lattice="0.000 5.541 5.541 5.541 0.000 5.541 5.541 5.541 0.000" Properties=species:S:1:pos:R:3 pbc="T T T"
Ni 0.000 0.000 0.000
Ni 2.771 2.771 0.000
Ni 2.771 0.000 2.771
Ni 0.000 2.771 2.771
Te 1.385 1.385 1.385
Te 9.698 9.698 9.698
```

Th2NiTe after structural relaxation. Source: OQMD via LeMat-Bulk, functional PBE-GGA.

Values from the calculation:
Total DFT energy (no corrections): -6.04 eV per atom
Density: 8.9 g/cm3
Symmetry: P-6m2, No. 187

```
4
Lattice="3.821 0.000 0.000 -1.910 3.309 0.000 0.000 0.000 9.623" Properties=species:S:1:pos:R:3 pbc="T T T"
Th 0.000 0.000 1.787
Th 0.000 0.000 7.836
Ni 1.910 1.103 0.000
Te 0.000 0.000 4.812
```

TmTlNiTe3 after structural relaxation. Source: OQMD via LeMat-Bulk, functional PBE-GGA.

Values from the calculation:
Total DFT energy (no corrections): -4.24 eV per atom
Density: 8.0 g/cm3
Symmetry: Pnma, No. 62
ΔE to the lowest computed polymorph: 0.066 eV per atom

```
24
Lattice="12.591 0.000 0.000 0.000 4.222 0.000 0.000 0.000 12.660" Properties=species:S:1:pos:R:3 pbc="T T T"
Tm 0.436 1.055 2.407
Tm 5.859 3.166 8.737
Tm 6.732 1.055 3.922
Tm 12.154 3.166 10.252
Tl 2.444 1.055 6.293
Tl 3.852 3.166 12.623
Tl 8.739 1.055 0.037
Tl 10.147 3.166 6.366
Ni 2.918 3.166 4.067
Ni 3.377 1.055 10.397
Ni 9.214 3.166 2.263
Ni 9.672 1.055 8.592
Te 0.411 3.166 4.543
Te 1.220 1.055 11.845
Te 2.772 3.166 9.104
Te 3.523 1.055 2.775
Te 5.075 3.166 5.515
Te 5.884 1.055 10.873
Te 6.706 3.166 1.787
Te 7.515 1.055 7.145
Te 9.067 3.166 9.885
Te 9.819 1.055 3.555
Te 11.371 3.166 0.815
Te 12.179 1.055 8.116
```

TmTlNiTe3 after structural relaxation. Source: OQMD via LeMat-Bulk, functional PBE-GGA.

Values from the calculation:
Total DFT energy (no corrections): -4.18 eV per atom
Density: 7.6 g/cm3
Symmetry: C2/m, No. 12
ΔE to the lowest computed polymorph: 0.132 eV per atom

```
12
Lattice="8.794 -2.175 0.000 8.794 2.175 0.000 -2.237 0.000 9.306" Properties=species:S:1:pos:R:3 pbc="T T T"
Tm 2.849 0.000 0.796
Tm 12.503 0.000 8.510
Tl 1.269 0.000 5.244
Tl 14.083 0.000 4.062
Ni 8.391 0.000 1.654
Ni 6.961 0.000 7.652
Te 0.000 0.000 0.000
Te 5.800 0.000 1.368
Te 4.610 0.000 6.625
Te 7.676 0.000 4.653
Te 10.742 0.000 2.681
Te 9.552 0.000 7.938
```

TmTlNiTe3 after structural relaxation. Source: OQMD via LeMat-Bulk, functional PBE-GGA.

Values from the calculation:
Total DFT energy (no corrections): -4.29 eV per atom
Density: 7.6 g/cm3
Symmetry: Cmcm, No. 63
ΔE to the lowest computed polymorph: 0.020 eV per atom

```
12
Lattice="2.050 -8.026 0.000 2.050 8.026 0.000 0.000 0.000 10.854" Properties=species:S:1:pos:R:3 pbc="T T T"
Tm 0.000 0.000 0.000
Tm 0.000 0.000 5.427
Tl 2.050 4.001 8.141
Tl 2.050 -4.001 2.714
Ni 2.050 0.348 2.714
Ni 2.050 -0.348 8.141
Te 2.050 6.806 2.714
Te 2.050 2.071 0.821
Te 2.050 2.071 4.606
Te 2.050 -2.071 6.248
Te 2.050 -2.071 10.034
Te 2.050 -6.806 8.141
```